# 1
A plane-wave DFT calculation with PBEsol was carried out for crystalline AuBrCl2 at its relaxed geometry.

Lattice parameters (Å, degrees): 3.846 4.625 5.767 90.00 90.00 105.45
Sites, in units of the cell vectors:
Au: 0.169 0.601 0.000
Br: 0.340 0.651 0.500
Cl: 0.008 0.067 0.000
Cl: 0.484 0.181 0.500

## Properties
As for the space-group type: Pm (6). For the total magnetization, the calculation gives 0.000 μB/atom. The offset from the most stable computed form is 156 meV per atom. The value obtained for the energy is -9.4 eV for the cell shown. The calculation puts the formation energy (no corrections) at 43 kJ/mol of formula units. As for the crystal system: monoclinic.

=====

# 2
A plane-wave DFT calculation with PBEsol was carried out for crystalline AuBrCl at its relaxed geometry.

Lattice parameters (Å, degrees): 3.708 3.990 6.197 82.01 72.59 62.31
Sites, in units of the cell vectors:
Au: 0.996 0.000 0.008
Br: 0.642 0.000 0.717
Cl: 0.362 0.000 0.276

## Properties
As for the space-group type: Fmm2 (42). For the total magnetization, the calculation gives 0.000 μB/atom. The value obtained for the energy is -8.1 eV for the cell shown. The calculation puts the formation energy (no corrections) at -29 kJ/mol of formula units. As for the crystal system: orthorhombic.

=====

# 3
A plane-wave DFT calculation with PBEsol was carried out for crystalline AuBrCl2 at its relaxed geometry.

Lattice parameters (Å, degrees): 3.026 5.113 5.113 90.00 90.00 90.00
Sites, in units of the cell vectors:
Au: 0.500 0.500 0.500
Br: 0.500 0.000 0.000
Cl: 0.000 0.000 0.500
Cl: 0.000 0.500 0.000

## Properties
As for the space-group type: P4/mmm (123). For the total magnetization, the calculation gives 0.000 μB/atom. The offset from the most stable computed form is 586 meV per atom. The value obtained for the energy is -7.6 eV for the cell shown. The calculation puts the formation energy (no corrections) at 209 kJ/mol of formula units. As for the crystal system: tetragonal.

=====

# 4
A plane-wave DFT calculation with PBEsol was carried out for crystalline AuBrCl2O at its relaxed geometry.

Lattice parameters (Å, degrees): 3.674 5.253 5.253 90.00 90.00 90.00
Sites, in units of the cell vectors:
Au: 0.500 0.500 0.500
O: 0.500 0.000 0.000
Br: 0.000 0.000 0.000
Cl: 0.000 0.000 0.500
Cl: 0.000 0.500 0.000

## Properties
As for the space-group type: P4/mmm (123). For the total magnetization, the calculation gives 0.000 μB/atom. The value obtained for the energy is -12.0 eV for the cell shown. The calculation puts the formation energy (no corrections) at 300 kJ/mol of formula units. As for the crystal system: tetragonal.

=====

# 5
A plane-wave DFT calculation with PBEsol was carried out for crystalline PbAuBrCl2 at its relaxed geometry.

Lattice parameters (Å, degrees): 5.202 5.202 5.537 90.00 90.00 90.00
Each line ends with the local moment (μB).
Sites, in units of the cell vectors:
Pb: 0.000 0.000 0.000  0.00
Au: 0.000 0.000 0.500  0.01
Br: 0.500 0.500 0.500  0.16
Cl: 0.000 0.500 0.000  0.02
Cl: 0.500 0.000 0.000  0.02

## Properties
As for the space-group type: P4/mmm (123). For the total magnetization, the calculation gives 0.054 μB/atom. The value obtained for the energy is -13.4 eV for the cell shown. The calculation puts the formation energy (no corrections) at 39 kJ/mol of formula units. As for the crystal system: tetragonal.

=====

# 6
A plane-wave DFT calculation with PBEsol was carried out for crystalline AuSe2BrCl at its relaxed geometry.

Lattice parameters (Å, degrees): 5.089 5.081 5.081 90.00 90.00 90.00
Each line ends with the local moment (μB).
Sites, in units of the cell vectors:
Au: 0.000 0.000 0.000  0.07
Se: 0.000 0.000 0.500  0.63
Se: 0.000 0.500 0.000  0.63
Br: 0.500 0.000 0.000  0.05
Cl: 0.500 0.500 0.500  0.38

## Properties
As for the space-group type: P4/mmm (123). For the total magnetization, the calculation gives 0.513 μB/atom. The value obtained for the energy is -12.6 eV for the cell shown. The calculation puts the formation energy (no corrections) at 280 kJ/mol of formula units. As for the crystal system: tetragonal.

=====

# 7
A plane-wave DFT calculation with PBEsol was carried out for crystalline CoAuBr at its relaxed geometry.

Lattice parameters (Å, degrees): 3.299 3.299 5.739 90.00 90.00 120.00
Each line ends with the local moment (μB).
Sites, in units of the cell vectors:
Co: 0.667 0.333 0.353  0.90
Au: 0.000 0.000 0.062  0.00
Br: 0.333 0.667 0.585  0.05

## Properties
As for the space-group type: P3m1 (156). For the total magnetization, the calculation gives 0.327 μB/atom. The offset from the most stable computed form is 0 meV per atom. The value obtained for the energy is -12.6 eV for the cell shown. The calculation puts the formation energy (no corrections) at 90 kJ/mol of formula units. As for the crystal system: trigonal.

=====

# 8
A plane-wave DFT calculation with PBEsol was carried out for crystalline Co2AuBr at its relaxed geometry.

Lattice parameters (Å, degrees): 3.012 4.409 4.409 90.00 90.00 90.00
Each line ends with the local moment (μB).
Sites, in units of the cell vectors:
Co: 0.000 0.000 0.500  1.78
Co: 0.000 0.500 0.000  1.78
Au: 0.500 0.500 0.500  0.06
Br: 0.500 0.000 0.000  0.14

## Properties
As for the space-group type: P4/mmm (123). For the total magnetization, the calculation gives 0.929 μB/atom. The offset from the most stable computed form is 205 meV per atom. The value obtained for the energy is -18.7 eV for the cell shown. The calculation puts the formation energy (no corrections) at 252 kJ/mol of formula units. As for the crystal system: tetragonal.

=====

# 9
A plane-wave DFT calculation with PBEsol was carried out for crystalline CoAuBr at its relaxed geometry.

Lattice parameters (Å, degrees): 4.453 4.453 4.453 60.00 60.00 60.00
Each line ends with the local moment (μB).
Sites, in units of the cell vectors:
Co: 0.500 0.500 0.500  1.98
Au: 0.250 0.250 0.250  -0.02
Br: 0.000 0.000 0.000  0.02

## Properties
As for the space-group type: F-43m (216). For the total magnetization, the calculation gives 0.668 μB/atom. The offset from the most stable computed form is 666 meV per atom. The value obtained for the energy is -10.6 eV for the cell shown. The calculation puts the formation energy (no corrections) at 282 kJ/mol of formula units. As for the crystal system: cubic.

=====

# 10
A plane-wave DFT calculation with PBEsol was carried out for crystalline CoAuBr at its relaxed geometry.

Lattice parameters (Å, degrees): 4.284 4.284 4.284 60.00 60.00 60.00
Each line ends with the local moment (μB).
Sites, in units of the cell vectors:
Co: 0.250 0.250 0.250  1.73
Au: 0.000 0.000 0.000  0.09
Br: 0.500 0.500 0.500  0.07

## Properties
As for the space-group type: F-43m (216). For the total magnetization, the calculation gives 0.628 μB/atom. The offset from the most stable computed form is 297 meV per atom. The value obtained for the energy is -11.7 eV for the cell shown. The calculation puts the formation energy (no corrections) at 175 kJ/mol of formula units. As for the crystal system: cubic.

=====

# 11
A plane-wave DFT calculation with PBEsol was carried out for crystalline Co2AuBr at its relaxed geometry.

Lattice parameters (Å, degrees): 2.999 4.176 6.026 110.27 104.41 90.00
Each line ends with the local moment (μB).
Sites, in units of the cell vectors:
Co: 0.998 0.998 0.996  1.77
Co: 0.337 0.837 0.673  1.99
Au: 0.470 0.470 0.940  0.06
Br: 0.695 0.195 0.391  0.10

## Properties
As for the space-group type: Imm2 (44). For the total magnetization, the calculation gives 0.983 μB/atom. The offset from the most stable computed form is 89 meV per atom. The value obtained for the energy is -19.1 eV for the cell shown. The calculation puts the formation energy (no corrections) at 207 kJ/mol of formula units. As for the crystal system: orthorhombic.

=====

# 12
A plane-wave DFT calculation with PBEsol was carried out for crystalline Co2AuBr at its relaxed geometry.

Lattice parameters (Å, degrees): 3.242 3.242 7.447 77.43 77.43 60.00
Each line ends with the local moment (μB).
Sites, in units of the cell vectors:
Co: 0.013 0.013 0.962  1.72
Co: 0.736 0.736 0.793  1.77
Au: 0.484 0.484 0.549  0.01
Br: 0.268 0.268 0.197  0.05

## Properties
As for the space-group type: R3m (160). For the total magnetization, the calculation gives 0.891 μB/atom. The offset from the most stable computed form is 0 meV per atom. The value obtained for the energy is -19.5 eV for the cell shown. The calculation puts the formation energy (no corrections) at 173 kJ/mol of formula units. As for the crystal system: trigonal.